# 1
Here is FeRh2 at its PBEsol-relaxed geometry from Alexandria. Energies are from SCAN.

Computed properties:
The uncorrected energy is -28.68 eV per atom.

Cell lengths 3.7030, 3.7030, 22.5058 Å; angles 90.00, 90.00, 90.00 degrees
Space group I4_1/amd (No. 141, origin choice 2)
Unique sites:
Fe 0.0000 0.2500 0.2916 [8 per cell]
Rh 0.0000 0.2500 0.1254 [8 per cell]
Rh 0.0000 0.2500 0.7913 [8 per cell]

=====

# 2
Here is Fe5Rh at its PBEsol-relaxed geometry from Alexandria. Energies are from SCAN.

Computed properties:
The uncorrected energy is -20.86 eV per atom. The value obtained for the relative energy among the computed polymorphs is 7 kJ/mol of formula units.

Cell lengths 2.8331, 2.8331, 8.6538 Å; angles 90.00, 90.00, 90.00 degrees
Space group P4/mmm (No. 123)
Unique sites:
Fe 0.0000 0.0000 0.0000 [1 per cell]
Fe 0.0000 0.0000 0.3188 [2 per cell]
Fe 0.5000 0.5000 0.1599 [2 per cell]
Rh 0.5000 0.5000 0.5000 [1 per cell]

=====

# 3
Here is Fe3Rh2 at its PBEsol-relaxed geometry from Alexandria. Energies are from SCAN.

Computed properties:
The uncorrected energy is -24.50 eV per atom. The value obtained for the relative energy among the computed polymorphs is 0 kJ/mol of formula units.

Cell lengths 11.8753, 4.0782, 2.5997 Å; angles 90.00, 99.35, 90.00 degrees
Space group C2/m (No. 12)
Unique sites:
Fe 0.0000 0.0000 0.0000 [2 per cell]
Fe 0.1982 0.0000 0.8459 [4 per cell]
Rh 0.1061 0.5000 0.3881 [4 per cell]

=====

# 4
Here is FeRh2 at its PBEsol-relaxed geometry from Alexandria. Energies are from SCAN.

Computed properties:
The uncorrected energy is -28.62 eV per atom.

Cell lengths 7.0630, 7.0630, 2.6513 Å; angles 90.00, 90.00, 120.00 degrees
Space group P-62m (No. 189)
Unique sites:
Fe 0.0000 0.0000 0.0000 [1 per cell]
Fe 0.3333 0.6667 0.5000 [2 per cell]
Rh 0.0000 0.3631 0.0000 [3 per cell]
Rh 0.0000 0.7013 0.5000 [3 per cell]